A plane-wave DFT calculation with PBE+U was carried out for a geometry-optimized Na3Pr3MoO8 structure.

Summary:
Total DFT energy (no corrections) in eV per atom: -6.7392

Cell and atoms, written as CIF:
```
data_Na3Pr3MoO8
_chemical_formula_sum 'Na3 Pr3 Mo1 O8'
_cell_length_a 6.9333
_cell_length_b 6.9333
_cell_length_c 6.8892
_cell_angle_alpha 118.36
_cell_angle_beta 118.36
_cell_angle_gamma 61.05
_space_group_name_H-M_alt 'P 1'
_space_group_IT_number 1
loop_
_space_group_symop_operation_xyz
'x,y,z'
loop_
_atom_site_label
_atom_site_fract_x
_atom_site_fract_y
_atom_site_fract_z
_atom_site_occupancy
Na1 0.0000 0.0000 0.0000 1
Na2 0.0000 0.5000 0.5000 1
Na3 0.5000 0.0000 0.5000 1
Pr1 0.0000 0.5000 0.0000 1
Pr2 0.5000 0.0000 0.0000 1
Pr3 0.5000 0.5000 0.5000 1
Mo1 0.0000 0.0000 0.5000 1
O1 0.2118 0.7741 0.2867 1
O2 0.2193 0.2193 0.7346 1
O3 0.2259 0.7882 0.7133 1
O4 0.2621 0.2621 0.2430 1
O5 0.7379 0.7379 0.7570 1
O6 0.7741 0.2118 0.2867 1
O7 0.7807 0.7807 0.2654 1
O8 0.7882 0.2259 0.7133 1
```